Entry 1:
ZrTa3Cr | SCAN | PBEsol geometry

Cell: 4.8142 4.8142 4.8142 Å, 90.00 90.00 90.00°
Fractional coordinates of all 5 atoms:
Zr (0.0000, 0.0000, 0.0000)
Ta (0.0000, 0.0000, 0.5000)
Ta (0.0000, 0.5000, 0.0000)
Ta (0.5000, 0.0000, 0.0000)
Cr (0.5000, 0.5000, 0.5000)

Summary:
ΔE_f = 2.0646 eV/atom
total magnetic moment = 3.49 μB/cell
N(E_F) = 1.513 states/eV per atom

=====

Entry 2:
BaTcO2F | SCAN | PBEsol geometry

Cell: 4.7144 4.7144 4.7541 Å, 90.00 90.00 90.00°
Fractional coordinates of all 5 atoms:
Ba (0.0000, 0.0000, 0.0000)
Tc (0.5000, 0.5000, 0.5000)
O (0.0000, 0.5000, 0.0000)
O (0.5000, 0.0000, 0.0000)
F (0.0000, 0.0000, 0.5000)

Summary:
total magnetic moment = 5.17 μB/cell
raw formation energy = -0.34 eV/atom
N(E_F) = 0.302 states/eV per atom

=====

Entry 3:
TmInAg2 | SCAN | PBEsol geometry

Cell: 4.8131 4.8131 4.8131 Å, 60.00 60.00 60.00°
Fractional coordinates of all 4 atoms:
Tm (0.0000, 0.0000, 0.0000)
In (0.5000, 0.5000, 0.5000)
Ag (0.2500, 0.2500, 0.2500)
Ag (0.7500, 0.7500, 0.7500)

Summary:
ΔE_f = -0.4059 eV/atom
total magnetic moment = 0.00 μB/cell
N(E_F) = 0.310 states/eV per atom

=====

Entry 4:
Li2SiSnS | SCAN | PBEsol geometry

Cell: 5.0568 5.0568 4.8527 Å, 90.00 90.00 90.00°
Fractional coordinates of all 5 atoms:
Li (0.0000, 0.5000, 0.0000)
Li (0.5000, 0.0000, 0.0000)
Si (0.0000, 0.0000, 0.5000)
Sn (0.0000, 0.0000, 0.0000)
S (0.5000, 0.5000, 0.5000)

Summary:
total magnetic moment = 0.79 μB/cell
raw formation energy = 0.51 eV/atom
N(E_F) = 0.482 states/eV per atom

=====

Entry 5:
ScMn2Be | SCAN | PBEsol geometry

Cell: 2.7940 3.7588 4.8512 Å, 90.00 103.18 90.00°
Fractional coordinates of all 4 atoms:
Sc (0.0000, 0.0000, 0.0000)
Mn (0.2842, 0.5000, 0.6381)
Mn (0.5722, 0.0000, 0.5044)
Be (0.6161, 0.5000, 0.2480)

Summary:
ΔE_f = 0.1175 eV/atom
total magnetic moment = 0.36 μB/cell
N(E_F) = 0.802 states/eV per atom

=====

Entry 6:
TiFe3Si | SCAN | PBEsol geometry

Cell: 4.0651 4.0651 4.0651 Å, 90.00 90.00 90.00°
Fractional coordinates of all 5 atoms:
Ti (0.0000, 0.0000, 0.0000)
Fe (0.0000, 0.5000, 0.5000)
Fe (0.5000, 0.0000, 0.5000)
Fe (0.5000, 0.5000, 0.0000)
Si (0.5000, 0.5000, 0.5000)

Summary:
total magnetic moment = 4.84 μB/cell
raw formation energy = 0.48 eV/atom
N(E_F) = 0.878 states/eV per atom